A plane-wave DFT calculation with GGA-PBE was carried out for a relaxed structure of DyHoTl.

a = 7.279 Å, b = 7.279 Å, c = 7.279 Å
α = 90.00°, β = 90.00°, γ = 90.00°
Space group F-43m (No. 216)
Asymmetric unit:
Dy  0.000  0.000  0.000 (multiplicity 4)
Ho  0.000  0.000  0.500 (multiplicity 4)
Tl  0.250  0.250  0.250 (multiplicity 4)

Computed properties:
The calculated density comes out at 9.16 g/cm³. The energy above the most stable polymorph in this dataset comes out at 0 kJ/mol of formula units.